The following is a GGA-PBE calculation of a relaxed Ho7Er2Tm2 crystal, from Alexandria.

Output
For the formation energy, the calculation gives 0.166 eV per atom. The value obtained for the magnetization is 0.00 μB per formula unit.

The structure in CIF format:
```
data_Ho7Er2Tm2
_space_group_name_H-M_alt 'C 1 2/m 1'
_space_group_IT_number 12
_cell_length_a 11.055
_cell_length_b 11.313
_cell_length_c 5.967
_cell_angle_alpha 90.00
_cell_angle_beta 113.28
_cell_angle_gamma 90.00
loop_
_space_group_symop_operation_xyz
'x,y,z'
'-x,-y,-z'
'-x,y,-z'
'x,-y,z'
'x+1/2,y+1/2,z'
'-x+1/2,-y+1/2,-z'
'-x+1/2,y+1/2,-z'
'x+1/2,-y+1/2,z'
loop_
_atom_site_label
_atom_site_type_symbol
_atom_site_fract_x
_atom_site_fract_y
_atom_site_fract_z
_atom_site_occupancy
Ho1 Ho 0.000 0.000 0.000 1
Ho2 Ho 0.175 0.236 0.177 1
Ho3 Ho 0.230 0.000 0.586 1
Er1 Er 0.087 0.500 0.802 1
Tm1 Tm 0.000 0.217 0.500 1
```